Computed, not measured: a relaxed structure of RbVNF2 at the GGA+U level of DFT.

Unit cell a=4.7902 b=4.7902 c=4.5828 alpha=90.00 beta=90.00 gamma=90.00
Closest atoms and distances in Å follow each position.
Space group P4/mmm (No. 123)
Asymmetric unit:
Rb (0.0000, 0.0000, 0.0000)  2 N 2.29, 4 F 2.40
V (0.5000, 0.5000, 0.5000)  8 F 3.31, 4 N 3.39
N (0.0000, 0.0000, 0.5000)  2 Rb 2.29
F (0.0000, 0.5000, 0.0000)  2 Rb 2.40

## Properties
* offset from the most stable computed form: 2054 meV per atom
* E_tot: -18.390 eV/cell